VASP calculation (PBE) on a relaxed structure of Ac6TlTe3Ir2.

Lattice parameters (Å, degrees): 4.477 9.738 10.560 107.07 102.24 90.00
Element x y z (fractional)
Te  0.839  0.168  0.678
Te  0.161  0.832  0.322
Te  0.500  0.500  0.000
Ac  0.670  0.118  0.340
Ac  0.017  0.261  0.034
Ac  0.330  0.882  0.660
Ac  0.321  0.439  0.642
Ac  0.983  0.739  0.966
Ac  0.679  0.561  0.358
Tl  0.500  0.000  0.000
Ir  0.169  0.334  0.337
Ir  0.831  0.666  0.663

Computed properties:
Fermi-level density of states = 7.29 states/eV/f.u.
energy relative to the elements, uncorrected = -12.26 eV/f.u.
magnetization = 0.0 μB/cell